NaErTmTl: relaxed, PBE.

a b c (Å): 5.351 5.351 5.351
angles (deg): 60.00 60.00 60.00
Fractional coordinates of all 4 atoms:
Na (0.000, 0.000, 0.000)
Er (0.250, 0.250, 0.250)
Tm (0.750, 0.750, 0.750)
Tl (0.500, 0.500, 0.500)

Summary:
Total energy (hartree per atom): -0.117
E_form (eV per atom): -0.015
V (Å³ per cell): 108.34

CuMo2H: relaxed, PBE.

a b c (Å): 4.999 4.999 4.999
angles (deg): 107.43 107.43 113.64
Fractional coordinates of all 8 atoms:
Cu (0.000, 0.000, 0.000)
Cu (0.750, 0.250, 0.500)
Mo (0.210, 0.125, 0.585)
Mo (0.375, 0.790, 0.915)
Mo (0.540, 0.625, 0.415)
Mo (0.875, 0.460, 0.085)
H (0.250, 0.750, 0.500)
H (0.500, 0.500, 0.000)

Summary:
Total energy (hartree per atom): -0.253
Energy above the lowest structure with this stoichiometry (meV per atom): 0
V (Å³ per cell): 95.76

Tb2Pr4Sm2Y: relaxed, PBE.

a b c (Å): 8.169 8.169 8.136
angles (deg): 107.60 107.60 36.87
Fractional coordinates of all 9 atoms:
Tb (0.167, 0.167, 0.000)
Tb (0.833, 0.833, 0.000)
Pr (0.055, 0.055, 0.332)
Pr (0.277, 0.277, 0.669)
Pr (0.723, 0.723, 0.331)
Pr (0.945, 0.945, 0.668)
Sm (0.388, 0.388, 0.330)
Sm (0.612, 0.612, 0.670)
Y (0.500, 0.500, 0.000)

Summary:
Total energy (hartree per atom): -0.180
E_form (eV per atom): 0.018
V (Å³ per cell): 308.78

La3PrY7: relaxed, PBE.

a b c (Å): 7.173 7.173 8.855
angles (deg): 90.00 90.00 120.00
Fractional coordinates of all 11 atoms:
La (0.167, 0.334, 0.000)
La (0.167, 0.833, 0.000)
La (0.666, 0.833, 0.000)
Pr (0.000, 0.000, 0.662)
Y (0.001, 0.501, 0.660)
Y (0.333, 0.166, 0.337)
Y (0.333, 0.667, 0.339)
Y (0.499, 0.501, 0.660)
Y (0.499, 0.999, 0.660)
Y (0.834, 0.166, 0.337)
Y (0.834, 0.667, 0.337)

Summary:
Total energy (hartree per atom): -0.210
E_form (eV per atom): 0.175
Energy above the lowest structure with this stoichiometry (meV per atom): 62
V (Å³ per cell): 394.50

La3GaRh: relaxed, PBE.

a b c (Å): 5.520 6.519 9.398
angles (deg): 109.80 90.12 114.94
Fractional coordinates of all 10 atoms:
La (0.122, 0.242, 0.411)
La (0.346, 0.692, 0.860)
La (0.374, 0.746, 0.227)
La (0.626, 0.254, 0.773)
La (0.654, 0.308, 0.140)
La (0.878, 0.758, 0.589)
Ga (0.091, 0.181, 0.947)
Ga (0.909, 0.819, 0.053)
Rh (0.391, 0.783, 0.554)
Rh (0.609, 0.217, 0.446)

Summary:
Total energy (hartree per atom): -0.205
E_form (eV per atom): -0.537
Energy above the lowest structure with this stoichiometry (meV per atom): 0
V (Å³ per cell): 284.33

In2NiW: relaxed, PBE.

a b c (Å): 5.868 5.868 5.868
angles (deg): 103.15 103.15 123.02
Fractional coordinates of all 8 atoms:
In (0.090, 0.125, 0.465)
In (0.375, 0.910, 0.035)
In (0.660, 0.625, 0.535)
In (0.875, 0.340, 0.965)
Ni (0.000, 0.000, 0.000)
Ni (0.750, 0.250, 0.500)
W (0.250, 0.750, 0.500)
W (0.500, 0.500, 0.000)

Summary:
Total energy (hartree per atom): -0.193
E_form (eV per atom): 0.800
Energy above the lowest structure with this stoichiometry (meV per atom): 514
V (Å³ per cell): 148.90

LiZrBi2: relaxed, PBE.

a b c (Å): 5.454 5.454 3.305
angles (deg): 90.00 90.00 90.00
Fractional coordinates of all 4 atoms:
Li (0.000, 0.000, 0.000)
Zr (0.500, 0.500, 0.000)
Bi (0.000, 0.500, 0.500)
Bi (0.500, 0.000, 0.500)

Summary:
Total energy (hartree per atom): -0.176
E_form (eV per atom): -0.236
Energy above the lowest structure with this stoichiometry (meV per atom): 49
V (Å³ per cell): 98.29

NaAgS2: relaxed, PBE.

a b c (Å): 7.266 7.266 7.266
angles (deg): 131.00 131.00 71.81
Fractional coordinates of all 8 atoms:
Na (0.000, 0.000, 0.000)
Na (0.750, 0.250, 0.500)
Ag (0.250, 0.750, 0.500)
Ag (0.500, 0.500, 0.000)
S (0.182, 0.625, 0.057)
S (0.375, 0.432, 0.557)
S (0.568, 0.125, 0.943)
S (0.875, 0.818, 0.443)

Summary:
Energy relative to the elements, uncorrected (meV/atom): -91.5
Total energy (hartree per atom): -0.118
Energy above the lowest structure with this stoichiometry (meV per atom): 0
V (Å³ per cell): 213.77

TiSi2Rh: relaxed, PBE.

a b c (Å): 9.075 9.075 9.075
angles (deg): 155.77 155.77 34.53
Fractional coordinates of all 8 atoms:
Ti (0.000, 0.000, 0.000)
Ti (0.750, 0.250, 0.500)
Si (0.154, 0.625, 0.029)
Si (0.375, 0.404, 0.529)
Si (0.596, 0.125, 0.971)
Si (0.875, 0.846, 0.471)
Rh (0.250, 0.750, 0.500)
Rh (0.500, 0.500, 0.000)

Summary:
Energy relative to the elements, uncorrected (meV/atom): -241.9
Total energy (hartree per atom): -0.249
V (Å³ per cell): 125.71

Rb2SrMo: relaxed, PBE.

a b c (Å): 6.631 6.631 6.631
angles (deg): 60.00 60.00 60.00
Fractional coordinates of all 4 atoms:
Rb (0.250, 0.250, 0.250)
Rb (0.750, 0.750, 0.750)
Sr (0.000, 0.000, 0.000)
Mo (0.500, 0.500, 0.500)

Summary:
Total energy (hartree per atom): -0.085
E_form (eV per atom): 1.298
Energy above the lowest structure with this stoichiometry (meV per atom): 35
V (Å³ per cell): 206.12

What is the formula in the first record? NaErTmTl